Entry from the Alexandria database: a geometry-optimized Tb2NdY5Tm structure (PBE-GGA).

```
data_Tb2NdY5Tm
_chemical_formula_sum 'Tb8 Nd4 Y20 Tm4'
_cell_length_a 8.921
_cell_length_b 8.921
_cell_length_c 14.868
_cell_angle_alpha 90.00
_cell_angle_beta 90.00
_cell_angle_gamma 90.00
_symmetry_space_group_name_H-M 'I 4/m c m'
_symmetry_Int_Tables_number 140
_symmetry_space_group_name_Hall '-I 4 2c'
loop_
_atom_site_label
_atom_site_fract_x
_atom_site_fract_y
_atom_site_fract_z
_atom_site_occupancy
Tb1 0.113 0.387 0.000 1
Nd1 0.000 0.000 0.250 1
Y1 0.000 0.000 0.000 1
Y2 0.206 0.294 0.367 1
Tm1 0.000 0.500 0.250 1
```

* ΔE_f: 275 meV per atom
* magnetic moment: 0.0000 μB per atom
* DOS(E_F): 11.8 states/eV/f.u.
* calculated total energy: -5.3716 eV/atom
* crystal system: tetragonal